Material: AgSb2W
Method: DFT, PBEsol
State: optimized geometry

Summary:
- polymorph energy (0 for the lowest one) (kJ/mol of formula units) = 43
- uncorrected formation energy (meV/atom) = 532.8

Cell lengths 3.268, 4.775, 5.560 Å; angles 99.11, 90.00, 110.01 degrees
Atoms (fractional coordinates):
Sb (0.268, 0.536, 0.275)
Sb (0.732, 0.464, 0.725)
W (0.000, 0.000, 0.500)
Ag (0.500, 0.000, 0.000)



Material: Y2AgSb
Method: DFT, PBEsol
State: optimized geometry

Summary:
- uncorrected formation energy (meV/atom) = -569.8

Cell lengths 4.257, 4.257, 7.387 Å; angles 73.25, 73.25, 60.00 degrees
Atoms (fractional coordinates):
Ag (0.500, 0.500, 0.500)
Sb (0.000, 0.000, 0.000)
Y (0.751, 0.751, 0.747)
Y (0.249, 0.249, 0.253)



Material: YAgSb
Method: DFT, PBEsol
State: optimized geometry

Summary:
- uncorrected formation energy (meV/atom) = -390.9

Cell lengths 4.790, 4.790, 4.790 Å; angles 60.00, 60.00, 60.00 degrees
Atoms (fractional coordinates):
Y (0.000, 0.000, 0.000)
Sb (0.250, 0.250, 0.250)
Ag (0.500, 0.500, 0.500)



Among the records above, which one has the lowest uncorrected formation energy?
Y2AgSb